[1]
AcSnI, optimized geometry, DFT PBE; energy above the lowest structure with this stoichiometry = 0.0 meV/atom; formation energy from raw total energies = -0.993 eV per atom
1.0
-0.400 4.885 0.677
-3.918 1.858 2.384
5.761 -0.700 10.630
Sn Ac I
2 2 2
Direct
0.334 0.334 0.481
0.666 0.666 0.519
0.992 0.992 0.680
0.008 0.008 0.320
0.681 0.681 0.158
0.319 0.319 0.842

=====

[2]
Y2CdBiI, optimized geometry, DFT PBE; formation energy from raw total energies = 0.160 eV per atom
1.0
-5.035 3.055 -0.702
-1.599 -1.416 5.301
2.660 4.867 2.102
Y I Bi Cd
2 1 1 1
Direct
0.000 0.000 0.500
0.500 0.000 0.000
0.500 0.500 0.500
0.000 0.000 0.000
0.000 0.500 0.000

=====

[3]
SrY2P, optimized geometry, DFT PBE; final energy = -5.13 eV/atom
1.0
-2.261 2.261 5.402
2.261 -2.261 5.402
2.261 2.261 -5.402
P Y Sr
1 2 1
Direct
0.500 0.500 0.000
0.000 0.000 0.000
0.250 0.750 0.500
0.750 0.250 0.500

=====

[4]
SmLuNi4, optimized geometry, DFT PBE; final energy = -5.83 eV/atom
1.0
5.067 0.000 0.000
2.534 4.388 0.000
2.534 1.463 4.137
Lu Ni Sm
1 4 1
Direct
0.000 0.000 0.000
0.122 0.626 0.626
0.626 0.626 0.626
0.626 0.122 0.626
0.626 0.626 0.122
0.250 0.250 0.250

=====

[5]
K3RuO3, optimized geometry, DFT PBE; formation energy from raw total energies = -1.198 eV per atom
1.0
5.585 0.000 0.000
0.000 7.145 -1.343
0.000 0.013 7.273
O K Ru
6 6 2
Direct
0.250 0.548 0.814
0.750 0.813 0.548
0.750 0.868 0.133
0.750 0.452 0.186
0.250 0.132 0.867
0.250 0.187 0.452
0.750 0.108 0.892
0.250 0.409 0.177
0.250 0.822 0.591
0.750 0.591 0.823
0.250 0.892 0.108
0.750 0.178 0.409
0.250 0.302 0.698
0.750 0.698 0.302

=====

[6]
K2ZrSnS4, optimized geometry, DFT PBE; formation energy from raw total energies = -1.208 eV per atom
1.0
3.961 0.000 0.000
0.000 7.555 -0.392
0.000 2.421 6.720
K S Sn Zr
2 4 1 1
Direct
0.000 0.000 0.000
0.500 0.000 0.500
0.500 0.695 0.288
0.000 0.300 0.263
0.500 0.305 0.712
0.000 0.700 0.737
0.500 0.500 0.000
0.000 0.500 0.500